Here is an optimized crystal structure of TcRuAu2 from Alexandria via LeMat-Bulk. Energies are from PBE-GGA.

V	15.99	Å³ per atom
Fermi-level density of states	4.80	states/eV per cell
total energy	-6.060	eV/atom
space-group type	P4/mmm (123)
energy of formation	189	kJ/mol of formula units

Cell: 3.8581 3.8607 4.2954 Å, 90.00 90.00 90.00°
Element x y z (fractional)
Au 0.0000 0.0000 0.0000
Au 0.5000 0.5000 0.0000
Ru 0.5000 0.0000 0.5000
Tc 0.0000 0.5000 0.5000